Compound: La2TiSi2
Source: the Alexandria database
Functional: PBE-GGA
Structure: relaxed

Values from the calculation:
crystal system	tetragonal
total moment	4.462	μB per cell
space group	P4/mbm (127)
energy relative to the elements, uncorrected	0.062	eV/atom
total DFT energy (no corrections)	-5.6570	eV/atom

a = 8.5244 Å, b = 8.5244 Å, c = 3.4824 Å
α = 90.00°, β = 90.00°, γ = 90.00°
Each line ends with the local moment (μB).
Element x y z (fractional)
1 Si 0.1737 0.6737 0.5000  -0.03
2 Si 0.6737 0.8263 0.5000  -0.03
3 Si 0.8263 0.3263 0.5000  -0.03
4 Si 0.3263 0.1737 0.5000  -0.03
5 Ti 0.0000 0.0000 0.0000  1.68
6 Ti 0.5000 0.5000 0.0000  1.68
7 La 0.3711 0.8711 0.0000  0.05
8 La 0.8711 0.6289 0.0000  0.06
9 La 0.6289 0.1289 0.0000  0.05
10 La 0.1289 0.3711 0.0000  0.06